Compound: CaZn2Si2
Source: Alexandria via LeMat-Bulk
Functional: PBE-GGA
Structure: optimized geometry

Calculated values
Fermi-level density of states: 2.144 states/eV/f.u.
M_tot: 0.00 μB per cell
ΔE_f (raw): 0.068 eV per atom
Final energy: -3.01 eV/atom

Lattice parameters (Å, degrees): 7.3960 7.3960 3.4608 90.00 90.00 90.00
Last column: nearest neighbours and their distance in Å.
Atoms (fractional coordinates):
Si 0.8814 0.6186 0.0000  1 Si 2.48, 4 Zn 2.72
Si 0.6186 0.1186 0.0000  1 Si 2.48, 4 Zn 2.72
Ca 0.5000 0.5000 0.0000  4 Si 2.95, 8 Zn 3.27
Zn 0.1623 0.6623 0.5000  6 Si 2.72-2.87
Si 0.3814 0.8814 0.0000  1 Si 2.48, 4 Zn 2.72
Zn 0.8377 0.3377 0.5000  6 Si 2.72-2.87
Zn 0.3377 0.1623 0.5000  6 Si 2.72-2.87
Zn 0.6623 0.8377 0.5000  6 Si 2.72-2.87
Si 0.1186 0.3814 0.0000  1 Si 2.48, 4 Zn 2.72
Ca 0.0000 0.0000 0.0000  4 Si 2.95, 8 Zn 3.27